No. 1
## In2NiHg (PBE)

Data for a geometry-optimized In2NiHg structure.

Calculated values
The calculation puts the formation energy from the elements at 218 meV per atom. The calculation puts the theoretical density at 9.94 g/cm³. As for the electronic total energy: -2.6718 eV/atom.

Lattice parameters (Å, degrees): 4.446 4.446 8.266 90.00 90.00 90.00
Element x y z (fractional)
In1 0.000 0.500 0.250
In2 0.000 0.500 0.750
In3 0.500 0.000 0.250
In4 0.500 0.000 0.750
Ni1 0.000 0.000 0.000
Ni2 0.500 0.500 0.500
Hg1 0.000 0.000 0.500
Hg2 0.500 0.500 0.000

***

No. 2
## Cr2InIr2 (PBE)

Data for a geometry-optimized Cr2InIr2 structure.

Calculated values
The calculation puts the formation energy from the elements at 39 meV per atom. The calculation puts the theoretical density at 13.10 g/cm³. As for the electronic total energy: -7.9020 eV/atom.

Lattice parameters (Å, degrees): 7.411 7.411 2.785 90.00 90.00 90.00
Element x y z (fractional)
Cr1 0.164 0.336 0.000
Cr2 0.336 0.836 0.000
Cr3 0.664 0.164 0.000
Cr4 0.836 0.664 0.000
In1 0.000 0.000 0.500
In2 0.500 0.500 0.500
Ir1 0.129 0.629 0.500
Ir2 0.371 0.129 0.500
Ir3 0.629 0.871 0.500
Ir4 0.871 0.371 0.500